No. 1
Crystalline LaDyY3Th at its relaxed geometry. Source: the Alexandria database, functional PBE.

Values from the calculation:
* E_form: 0.035 eV/atom

POSCAR file:
```
LaDyY3Th
1.0
8.051 0.000 0.000
0.000 5.101 0.000
-3.324 0.000 9.669
La Dy Y Th
2 2 6 2
direct
0.174 0.250 0.293 La
0.826 0.750 0.707 La
0.499 0.250 0.629 Dy
0.501 0.750 0.371 Dy
0.172 0.750 0.545 Y
0.177 0.750 0.042 Y
0.178 0.250 0.795 Y
0.822 0.750 0.205 Y
0.823 0.250 0.958 Y
0.828 0.250 0.455 Y
0.500 0.250 0.121 Th
0.500 0.750 0.879 Th
```

=====

No. 2
Crystalline LaDy6Y3Th2 at its relaxed geometry. Source: the Alexandria database, functional PBE.

Values from the calculation:
* E_form: 0.031 eV/atom

POSCAR file:
```
LaDy6Y3Th2
1.0
3.104 -5.372 0.000
3.104 5.372 0.000
-2.073 0.000 11.604
La Dy Y Th
1 6 3 2
direct
0.000 0.000 0.000 La
0.084 0.422 0.248 Dy
0.255 0.255 0.752 Dy
0.422 0.084 0.248 Dy
0.578 0.916 0.752 Dy
0.745 0.745 0.248 Dy
0.916 0.578 0.752 Dy
0.167 0.833 0.500 Y
0.500 0.500 0.500 Y
0.833 0.167 0.500 Y
0.333 0.667 0.000 Th
0.667 0.333 0.000 Th
```

=====

No. 3
Crystalline LaDy2Y6Th3 at its relaxed geometry. Source: the Alexandria database, functional PBE.

Values from the calculation:
* E_form: 0.023 eV/atom

POSCAR file:
```
LaDy2Y6Th3
1.0
3.111 -5.388 0.000
3.111 5.388 0.000
-2.076 0.000 11.621
La Dy Y Th
1 2 6 3
direct
0.000 0.000 0.000 La
0.333 0.667 0.000 Dy
0.667 0.333 0.000 Dy
0.085 0.420 0.256 Y
0.249 0.249 0.744 Y
0.420 0.085 0.256 Y
0.580 0.915 0.744 Y
0.751 0.751 0.256 Y
0.915 0.580 0.744 Y
0.166 0.834 0.500 Th
0.500 0.500 0.500 Th
0.834 0.166 0.500 Th
```

=====

No. 4
Crystalline LaDy5Y2Th at its relaxed geometry. Source: the Alexandria database, functional PBE.

Values from the calculation:
* E_form: 0.167 eV/atom

POSCAR file:
```
LaDy5Y2Th
1.0
2.824 -9.897 0.000
2.824 9.897 0.000
0.000 0.000 10.578
La Dy Y Th
2 10 4 2
direct
0.084 0.916 0.500 La
0.916 0.084 0.000 La
0.021 0.979 0.787 Dy
0.113 0.887 0.076 Dy
0.205 0.795 0.758 Dy
0.221 0.779 0.366 Dy
0.483 0.517 0.078 Dy
0.517 0.483 0.578 Dy
0.779 0.221 0.866 Dy
0.795 0.205 0.258 Dy
0.887 0.113 0.576 Dy
0.979 0.021 0.287 Dy
0.387 0.613 0.370 Y
0.388 0.612 0.785 Y
0.612 0.388 0.285 Y
0.613 0.387 0.870 Y
0.297 0.703 0.064 Th
0.703 0.297 0.564 Th
```

=====

What calculated density values result from the calculations? In sequence: 6.692; 7.914; 7.218; 7.646 g/cm³.